RbSc3S4 after structural relaxation, computed with PBE-GGA.

Cell: 3.7720 3.7720 27.2118 Å, 90.00 90.00 120.00°
With the nearest neighbours (Å) after each atom.
Sites, in units of the cell vectors:
Sc 0.0000 0.0000 0.0000  6 S 2.63
Sc 0.0000 0.0000 0.5000  6 S 2.63
Sc 0.3333 0.6667 0.8903  6 S 2.59-2.65
Sc 0.6667 0.3333 0.1097  6 S 2.59-2.65
Sc 0.6667 0.3333 0.3903  6 S 2.59-2.65
Sc 0.3333 0.6667 0.6097  6 S 2.59-2.65
S 0.6667 0.3333 0.9456  6 Sc 2.63-2.65
S 0.3333 0.6667 0.0544  6 Sc 2.63-2.65
S 0.3333 0.6667 0.4456  6 Sc 2.63-2.65
S 0.6667 0.3333 0.5544  6 Sc 2.63-2.65
S 0.0000 0.0000 0.8389  3 Sc 2.59
S 0.0000 0.0000 0.1611  3 Sc 2.59
S 0.0000 0.0000 0.3389  3 Sc 2.59
S 0.0000 0.0000 0.6611  3 Sc 2.59
Rb 0.6667 0.3333 0.7500  6 S 3.25
Rb 0.3333 0.6667 0.2500  6 S 3.25

Computed properties:
As for the space group: P6_3/mmc (194). As for the total moment: 0.00 μB per cell. The calculation puts the density of states at the Fermi level at 0.41 states/eV/atom. As for the raw formation energy: -1.789 eV/atom.